# LaRh2Au2 PBE relaxed
# Energy relative to the elements = -0.2983 eV per atom
# D(E_F) = 4.8 states/eV/f.u.
# Space-group type = I4/mmm, No. 139
# Magnetic moment = 0.64 μB per formula unit
# Calculated density = 11.9 g/cm³
# Relative energy among the computed polymorphs = 39 meV per atom
data_LaRh2Au2
_chemical_formula_sum 'La1 Rh2 Au2'
_symmetry_space_group_name_H-M 'P 1'
_symmetry_Int_Tables_number 1
_cell_length_a 4.083
_cell_length_b 4.083
_cell_length_c 6.806
_cell_angle_alpha 72.54
_cell_angle_beta 72.54
_cell_angle_gamma 90.00
loop_
_symmetry_equiv_pos_as_xyz
'x,y,z'
loop_
_atom_site_label
_atom_site_type_symbol
_atom_site_fract_x
_atom_site_fract_y
_atom_site_fract_z
La1 La 0.000 0.000 0.000
Rh1 Rh 0.401 0.401 0.198
Rh2 Rh 0.599 0.599 0.802
Au1 Au 0.750 0.250 0.500
Au2 Au 0.250 0.750 0.500